No. 1
Computed, not measured: a relaxed structure of Sr4ReRh at the GGA-PBEsol level of DFT.

- DOS at the Fermi energy: 1.310 states/eV/atom
- Calculated formation energy: 1.60 eV/atom

Cell lengths 8.7590, 8.7590, 8.7590 Å; angles 90.00, 90.00, 90.00 degrees
With the nearest neighbours (Å) after each atom.
Space group F-43m (No. 216)
One atom of each set of equivalent atoms:
Sr: 0.1249 0.1249 0.1249 [16 per cell]  6 Sr 3.09-3.10
Re: 0.0000 0.0000 0.5000 [4 per cell]  12 Sr 3.63, 4 Rh 3.79
Rh: 0.2500 0.2500 0.7500 [4 per cell]  12 Sr 3.63, 4 Re 3.79

---

No. 2
Computed, not measured: a relaxed structure of KCu2HgC at the GGA-PBEsol level of DFT.

- DOS at the Fermi energy: 0.452 states/eV/atom
- Calculated formation energy: 0.72 eV/atom

Cell lengths 3.9961, 3.9961, 5.4697 Å; angles 90.00, 90.00, 90.00 degrees
With the nearest neighbours (Å) after each atom.
Space group P4/mmm (No. 123)
One atom of each set of equivalent atoms:
K: 0.0000 0.0000 0.0000 [1 per cell]  2 C 2.73, 4 Hg 2.83
Cu: 0.0000 0.5000 0.5000 [2 per cell]  2 C 2.00
Hg: 0.5000 0.5000 0.0000 [1 per cell]  4 K 2.83
C: 0.0000 0.0000 0.5000 [1 per cell]  4 Cu 2.00

---

No. 3
Computed, not measured: a relaxed structure of MnCoSe2 at the GGA-PBEsol level of DFT.

- DOS at the Fermi energy: 0.849 states/eV/atom
- E above lowest polymorph: 276.9 meV/atom
- Uncorrected formation energy: -0.044 eV/atom

Cell lengths 3.1514, 3.4111, 11.2879 Å; angles 90.00, 90.00, 90.00 degrees
With the nearest neighbours (Å) after each atom.
Space group Imm2 (No. 44)
One atom of each set of equivalent atoms:
Mn: 0.0000 0.0000 0.0000 [2 per cell]  6 Se 2.48-2.60
Co: 0.0000 0.5000 0.2905 [2 per cell]  6 Se 2.39-2.64
Se: 0.0000 0.0000 0.6032 [2 per cell]  4 Mn 2.60, 2 Co 2.64
Se: 0.0000 0.5000 0.8410 [2 per cell]  4 Co 2.39, 2 Mn 2.48

---

Copy entry 2 word for word.
Computed, not measured: a relaxed structure of KCu2HgC at the GGA-PBEsol level of DFT.

- DOS at the Fermi energy: 0.452 states/eV/atom
- Calculated formation energy: 0.72 eV/atom

Cell lengths 3.9961, 3.9961, 5.4697 Å; angles 90.00, 90.00, 90.00 degrees
With the nearest neighbours (Å) after each atom.
Space group P4/mmm (No. 123)
One atom of each set of equivalent atoms:
K: 0.0000 0.0000 0.0000 [1 per cell]  2 C 2.73, 4 Hg 2.83
Cu: 0.0000 0.5000 0.5000 [2 per cell]  2 C 2.00
Hg: 0.5000 0.5000 0.0000 [1 per cell]  4 K 2.83
C: 0.0000 0.0000 0.5000 [1 per cell]  4 Cu 2.00

---

What did the third record say?
Computed, not measured: a relaxed structure of MnCoSe2 at the GGA-PBEsol level of DFT.

- DOS at the Fermi energy: 0.849 states/eV/atom
- E above lowest polymorph: 276.9 meV/atom
- Uncorrected formation energy: -0.044 eV/atom

Cell lengths 3.1514, 3.4111, 11.2879 Å; angles 90.00, 90.00, 90.00 degrees
With the nearest neighbours (Å) after each atom.
Space group Imm2 (No. 44)
One atom of each set of equivalent atoms:
Mn: 0.0000 0.0000 0.0000 [2 per cell]  6 Se 2.48-2.60
Co: 0.0000 0.5000 0.2905 [2 per cell]  6 Se 2.39-2.64
Se: 0.0000 0.0000 0.6032 [2 per cell]  4 Mn 2.60, 2 Co 2.64
Se: 0.0000 0.5000 0.8410 [2 per cell]  4 Co 2.39, 2 Mn 2.48

---

Q: Which of these has the lowest DOS at the Fermi energy?
A: KCu2HgC

---

Q: Which of these has the highest DOS at the Fermi energy?
A: Sr4ReRh